Entry 1:
# PmPuGaO6, relaxed, DFT PBE-GGA
data_PmPuGaO6
_space_group_name_H-M_alt 'P 1'
_space_group_IT_number 1
_cell_length_a 5.331
_cell_length_b 5.331
_cell_length_c 10.262
_cell_angle_alpha 90.00
_cell_angle_beta 90.00
_cell_angle_gamma 120.00
loop_
_space_group_symop_operation_xyz
'x,y,z'
loop_
_atom_site_label
_atom_site_fract_x
_atom_site_fract_y
_atom_site_fract_z
Pm1 0.000 0.000 0.000
O1 0.353 0.993 0.641
O2 0.007 0.361 0.641
Pu1 0.333 0.667 0.250
O3 0.993 0.353 0.141
O4 0.639 0.993 0.859
Ga1 0.333 0.667 0.750
Pu2 0.667 0.333 0.750
Pm2 0.000 0.000 0.500
O5 0.993 0.639 0.359
O6 0.647 0.639 0.141
O7 0.361 0.007 0.141
O8 0.647 0.007 0.359
Ga2 0.667 0.333 0.250
O9 0.353 0.361 0.859
O10 0.639 0.647 0.641
O11 0.361 0.353 0.359
O12 0.007 0.647 0.859
# uncorrected formation energy	-2.540	eV/atom
# SG	No. 163
# D(E_F)	15.19	states/eV per cell

***

Entry 2:
# Pm3Sm2Ga2, relaxed, DFT PBE-GGA
data_Pm3Sm2Ga2
_space_group_name_H-M_alt 'P 1'
_space_group_IT_number 1
_cell_length_a 4.197
_cell_length_b 6.505
_cell_length_c 8.809
_cell_angle_alpha 112.10
_cell_angle_beta 90.00
_cell_angle_gamma 108.82
loop_
_space_group_symop_operation_xyz
'x,y,z'
loop_
_atom_site_label
_atom_site_fract_x
_atom_site_fract_y
_atom_site_fract_z
Sm1 0.847 0.694 0.187
Pm1 0.618 0.237 0.437
Pm2 0.500 0.000 0.000
Pm3 0.382 0.763 0.563
Sm2 0.153 0.306 0.813
Ga1 0.174 0.349 0.213
Ga2 0.826 0.651 0.787
# SG	No. 12
# DFT total energy	-4.5454	eV per atom
# D(E_F)	6.97	states/eV per cell

***

Entry 3:
# SmHo2Hf, relaxed, DFT PBE-GGA
data_SmHo2Hf
_space_group_name_H-M_alt 'P 1'
_space_group_IT_number 1
_cell_length_a 3.342
_cell_length_b 3.342
_cell_length_c 12.176
_cell_angle_alpha 82.11
_cell_angle_beta 82.11
_cell_angle_gamma 60.00
loop_
_space_group_symop_operation_xyz
'x,y,z'
loop_
_atom_site_label
_atom_site_fract_x
_atom_site_fract_y
_atom_site_fract_z
Hf1 0.000 0.000 0.000
Sm1 0.500 0.500 0.500
Ho1 0.914 0.914 0.257
Ho2 0.086 0.086 0.743
# SG	No. 166
# DFT total energy	-5.5843	eV per atom
# D(E_F)	6.28	states/eV per cell

***

Entry 4:
# Na2SbPt3, relaxed, DFT PBE-GGA
data_Na2SbPt3
_space_group_name_H-M_alt 'P 1'
_space_group_IT_number 1
_cell_length_a 5.369
_cell_length_b 5.369
_cell_length_c 5.369
_cell_angle_alpha 62.94
_cell_angle_beta 62.94
_cell_angle_gamma 62.94
loop_
_space_group_symop_operation_xyz
'x,y,z'
loop_
_atom_site_label
_atom_site_fract_x
_atom_site_fract_y
_atom_site_fract_z
Pt1 0.000 0.500 0.000
Sb1 0.000 0.000 0.000
Na1 0.380 0.380 0.380
Pt2 0.500 0.000 0.000
Na2 0.620 0.620 0.620
Pt3 0.000 0.000 0.500
# uncorrected formation energy	-0.451	eV/atom
# SG	No. 166
# D(E_F)	2.99	states/eV per cell

***

Entry 5:
# PrDyTm2Sb4, relaxed, DFT PBE-GGA
data_PrDyTm2Sb4
_space_group_name_H-M_alt 'P 1'
_space_group_IT_number 1
_cell_length_a 6.233
_cell_length_b 6.233
_cell_length_c 7.634
_cell_angle_alpha 114.10
_cell_angle_beta 114.10
_cell_angle_gamma 89.99
loop_
_space_group_symop_operation_xyz
'x,y,z'
loop_
_atom_site_label
_atom_site_fract_x
_atom_site_fract_y
_atom_site_fract_z
Sb1 0.191 0.191 0.508
Sb2 0.437 0.937 0.000
Pr1 0.937 0.937 0.000
Tm1 0.687 0.187 0.500
Sb3 0.937 0.437 0.000
Tm2 0.187 0.687 0.500
Dy1 0.437 0.437 0.000
Sb4 0.683 0.683 0.492
# uncorrected formation energy	-1.097	eV/atom
# SG	No. 139
# D(E_F)	1.26	states/eV per cell

***

Entry 6:
# Na2LiMg2Tl5, relaxed, DFT PBE-GGA
data_Na2LiMg2Tl5
_space_group_name_H-M_alt 'P 1'
_space_group_IT_number 1
_cell_length_a 3.730
_cell_length_b 12.060
_cell_length_c 12.060
_cell_angle_alpha 90.00
_cell_angle_beta 90.00
_cell_angle_gamma 90.00
loop_
_space_group_symop_operation_xyz
'x,y,z'
loop_
_atom_site_label
_atom_site_fract_x
_atom_site_fract_y
_atom_site_fract_z
Mg1 0.000 0.865 0.365
Tl1 0.500 0.188 0.051
Mg2 0.000 0.135 0.635
Tl2 0.500 0.051 0.812
Na1 0.000 0.670 0.170
Tl3 0.500 0.949 0.188
Tl4 0.500 0.500 0.000
Na2 0.000 0.330 0.830
Mg3 0.000 0.635 0.865
Na3 0.000 0.830 0.670
Tl5 0.500 0.688 0.449
Na4 0.000 0.170 0.330
Mg4 0.000 0.365 0.135
Tl6 0.500 0.551 0.688
Li1 0.000 0.000 0.000
Tl7 0.500 0.449 0.312
Tl8 0.500 0.812 0.949
Tl9 0.500 0.312 0.551
Li2 0.000 0.500 0.500
Tl10 0.500 0.000 0.500
# SG	No. 127
# DFT total energy	-2.0227	eV per atom
# D(E_F)	5.00	states/eV per cell